# LiSmTm

A relaxed LiSmTm crystal (PBE, Alexandria).

Calculated values
Density, g/cm3: 6.08
Final energy, eV per atom: -3.522
Crystal system: tetragonal
Energy relative to the lowest polymorph listed for this composition, meV per atom: 96.7
D(E_F), states/eV per cell: 6.6
Energy of formation from the pure elements, eV per formula unit: 0.537

Unit cell a=3.957 b=3.957 c=11.375 alpha=90.00 beta=90.00 gamma=90.00
Space group P4/nmm (No. 129, origin choice 2)
Asymmetric unit:
1 Li 0.250 0.750 0.000 (multiplicity 2)
2 Sm 0.250 0.250 0.244 (multiplicity 2)
3 Tm 0.250 0.250 0.577 (multiplicity 2)



# Ac8Te3Ir3N

A relaxed Ac8Te3Ir3N crystal (PBE, Alexandria).

Calculated values
Density, g/cm3: 8.82
Formation energy without anion corrections, meV per atom: -971
Final energy, eV per atom: -6.118
Crystal system: trigonal
D(E_F), states/eV per cell: 29.4

Unit cell a=8.6905 b=8.6905 c=24.0852 alpha=90.00 beta=90.00 gamma=120.00
Space group R-3m (No. 166, hexagonal axes)
Asymmetric unit:
1 Ac 0.0000 0.0000 0.2362 (multiplicity 6)
2 Ac 0.0168 0.5084 0.2310 (multiplicity 18)
3 Te 0.0000 0.5000 0.0000 (multiplicity 9)
4 Ir 0.0000 0.5000 0.5000 (multiplicity 9)
5 N 0.0000 0.0000 0.5000 (multiplicity 3)



# Nd3PdRu

A relaxed Nd3PdRu crystal (PBE, Alexandria).

Calculated values
Density, g/cm3: 7.94
Final energy, eV per atom: -6.170
Crystal system: monoclinic
Energy relative to the lowest polymorph listed for this composition, meV per atom: 0.0
D(E_F), states/eV per cell: 13.9
Energy of formation from the pure elements, eV per formula unit: -2.077

Unit cell a=8.871 b=7.474 c=8.479 alpha=90.00 beta=107.66 gamma=90.00
Space group P2_1/c (No. 14)
Asymmetric unit:
1 Nd 0.042 0.008 0.215 (multiplicity 4)
2 Nd 0.276 0.655 0.104 (multiplicity 4)
3 Nd 0.352 0.186 0.994 (multiplicity 4)
4 Pd 0.410 0.535 0.818 (multiplicity 4)
5 Ru 0.069 0.185 0.527 (multiplicity 4)



# KLiSbI2

A relaxed KLiSbI2 crystal (PBE, Alexandria).

Calculated values
Density, g/cm3: 2.45
Formation energy without anion corrections, meV per atom: -26
Final energy, eV per atom: -2.073
Crystal system: tetragonal
Energy relative to the lowest polymorph listed for this composition, meV per atom: 447.9

Unit cell a=6.621 b=6.621 c=6.530 alpha=90.00 beta=90.00 gamma=90.00
Space group P4/mmm (No. 123)
Asymmetric unit:
1 K 0.000 0.000 0.000 (multiplicity 1)
2 Li 0.500 0.500 0.500 (multiplicity 1)
3 Sb 0.000 0.000 0.500 (multiplicity 1)
4 I 0.000 0.500 0.000 (multiplicity 2)



# LaTc3

A relaxed LaTc3 crystal (PBE, Alexandria).

Calculated values
Density, g/cm3: 10.03
Final energy, eV per atom: -8.428
Crystal system: tetragonal
D(E_F), states/eV per cell: 6.0
Energy of formation from the pure elements, eV per formula unit: 2.315

Unit cell a=4.735 b=4.735 c=3.197 alpha=90.00 beta=90.00 gamma=90.00
Space group P4/mmm (No. 123)
Asymmetric unit:
1 La 0.000 0.000 0.000 (multiplicity 1)
2 Tc 0.000 0.500 0.500 (multiplicity 2)
3 Tc 0.500 0.500 0.000 (multiplicity 1)



# Er2Cd

A relaxed Er2Cd crystal (PBE, Alexandria).

Calculated values
Density, g/cm3: 9.00
Final energy, eV per atom: -3.539
Crystal system: tetragonal
D(E_F), states/eV per cell: 6.2
Energy of formation from the pure elements, eV per formula unit: -0.577

Unit cell a=3.559 b=3.559 c=13.011 alpha=90.00 beta=90.00 gamma=90.00
Space group P4/mmm (No. 123)
Asymmetric unit:
1 Er 0.000 0.000 0.000 (multiplicity 1)
2 Er 0.000 0.000 0.312 (multiplicity 2)
3 Er 0.500 0.500 0.500 (multiplicity 1)
4 Cd 0.500 0.500 0.154 (multiplicity 2)



# Cs6Rb2Hg2Au

A relaxed Cs6Rb2Hg2Au crystal (PBE, Alexandria).

Calculated values
Density, g/cm3: 3.02
Final energy, eV per atom: -1.102
Crystal system: monoclinic
D(E_F), states/eV per cell: 20.7
Energy of formation from the pure elements, eV per formula unit: -1.181

Unit cell a=8.900 b=17.521 c=11.112 alpha=90.00 beta=96.32 gamma=90.00
Space group C2/m (No. 12)
Asymmetric unit:
1 Cs 0.110 0.149 0.306 (multiplicity 8)
2 Cs 0.143 0.500 0.332 (multiplicity 4)
3 Rb 0.000 0.339 0.000 (multiplicity 4)
4 Hg 0.000 0.322 0.500 (multiplicity 4)
5 Au 0.000 0.000 0.500 (multiplicity 2)



# Th2HgOs

A relaxed Th2HgOs crystal (PBE, Alexandria).

Calculated values
Density, g/cm3: 14.19
Final energy, eV per atom: -6.714
Crystal system: cubic
Energy relative to the lowest polymorph listed for this composition, meV per atom: 216.4
D(E_F), states/eV per cell: 5.0
Energy of formation from the pure elements, eV per formula unit: -0.485

Unit cell a=7.370 b=7.370 c=7.370 alpha=90.00 beta=90.00 gamma=90.00
Space group Fm-3m (No. 225)
Asymmetric unit:
1 Th 0.250 0.250 0.250 (multiplicity 8)
2 Hg 0.000 0.000 0.000 (multiplicity 4)
3 Os 0.000 0.000 0.500 (multiplicity 4)



# AgP2Ir

A relaxed AgP2Ir crystal (PBE, Alexandria).

Calculated values
Density, g/cm3: 9.43
Final energy, eV per atom: -5.396
Crystal system: monoclinic
Energy relative to the lowest polymorph listed for this composition, meV per atom: 285.0
D(E_F), states/eV per cell: 2.8
Energy of formation from the pure elements, eV per formula unit: 0.950

Unit cell a=2.850 b=4.202 c=5.323 alpha=90.00 beta=90.08 gamma=90.00
Space group P2/m (No. 10)
Asymmetric unit:
1 Ag 0.000 0.000 0.000 (multiplicity 1)
2 P 0.500 0.500 0.276 (multiplicity 2)
3 Ir 0.500 0.000 0.500 (multiplicity 1)



# Mn3SbPd6

A relaxed Mn3SbPd6 crystal (PBE, Alexandria).

Calculated values
Density, g/cm3: 9.65
Formation energy without anion corrections, meV per atom: -265
Final energy, eV per atom: -6.544
Crystal system: monoclinic
Energy relative to the lowest polymorph listed for this composition, meV per atom: 0.0
D(E_F), states/eV per cell: 9.2

Unit cell a=8.417 b=4.136 c=9.170 alpha=90.00 beta=94.34 gamma=90.00
Space group P2_1/m (No. 11)
Asymmetric unit:
1 Mn 0.050 0.250 0.397 (multiplicity 2)
2 Mn 0.148 0.750 0.186 (multiplicity 2)
3 Mn 0.248 0.250 0.977 (multiplicity 2)
4 Sb 0.442 0.250 0.632 (multiplicity 2)
5 Pd 0.037 0.750 0.897 (multiplicity 2)
6 Pd 0.126 0.250 0.687 (multiplicity 2)
7 Pd 0.246 0.750 0.483 (multiplicity 2)
8 Pd 0.329 0.250 0.276 (multiplicity 2)
9 Pd 0.340 0.750 0.797 (multiplicity 2)
10 Pd 0.438 0.750 0.088 (multiplicity 2)



# Na2AgHg5

A relaxed Na2AgHg5 crystal (PBE, Alexandria).

Calculated values
Density, g/cm3: 10.00
Final energy, eV per atom: -0.996
Crystal system: monoclinic
D(E_F), states/eV per cell: 6.2
Energy of formation from the pure elements, eV per formula unit: -0.968

Unit cell a=10.979 b=6.608 c=6.610 alpha=90.00 beta=126.75 gamma=90.00
Space group Cm (No. 8)
Asymmetric unit:
1 Na 0.000 0.000 0.000 (multiplicity 2)
2 Na 0.000 0.500 0.499 (multiplicity 2)
3 Ag 0.000 0.000 0.500 (multiplicity 2)
4 Hg 0.000 0.500 0.000 (multiplicity 2)
5 Hg 0.250 0.250 0.500 (multiplicity 4)
6 Hg 0.250 0.250 0.999 (multiplicity 4)



# AcPmAu2

A relaxed AcPmAu2 crystal (PBE, Alexandria).

Calculated values
Density, g/cm3: 11.50
Final energy, eV per atom: -4.598
Crystal system: cubic
Energy relative to the lowest polymorph listed for this composition, meV per atom: 53.0
D(E_F), states/eV per cell: 13.2
Energy of formation from the pure elements, eV per formula unit: -2.979

Unit cell a=7.620 b=7.620 c=7.620 alpha=90.00 beta=90.00 gamma=90.00
Space group Fm-3m (No. 225)
Asymmetric unit:
1 Ac 0.000 0.000 0.000 (multiplicity 4)
2 Pm 0.000 0.000 0.500 (multiplicity 4)
3 Au 0.250 0.250 0.250 (multiplicity 8)



# LaCe3Y2Se6

A relaxed LaCe3Y2Se6 crystal (PBE, Alexandria).

Calculated values
Density, g/cm3: 6.46
Formation energy without anion corrections, meV per atom: -1835
Final energy, eV per atom: -6.548
Crystal system: monoclinic
D(E_F), states/eV per cell: 39.7

Unit cell a=7.230 b=12.535 c=7.282 alpha=90.00 beta=109.41 gamma=90.00
Space group C2/m (No. 12)
Asymmetric unit:
1 La 0.000 0.000 0.000 (multiplicity 2)
2 Ce 0.000 0.162 0.500 (multiplicity 4)
3 Ce 0.000 0.500 0.500 (multiplicity 2)
4 Y 0.000 0.333 0.000 (multiplicity 4)
5 Se 0.236 0.500 0.241 (multiplicity 4)
6 Se 0.246 0.328 0.754 (multiplicity 8)